Ce3Fe5O12 GGA+U optimized geometry; total DFT energy (no corrections) = -7.368 eV per atom; density of states at the Fermi level = 10.52 states/eV/f.u.
1.0
-6.9300 -8.4824 -0.6562
10.0965 -3.6877 2.2064
-3.2514 6.7689 8.0010
O Fe Ce
48 20 12
direct
0.0841 0.9042 0.3717
0.6799 0.4674 0.5958
0.3717 0.4042 0.0841
0.1799 0.0841 0.7124
0.5841 0.8717 0.4042
0.3201 0.5326 0.4042
0.9674 0.5958 0.1799
0.3717 0.9674 0.7876
0.2876 0.4159 0.8201
0.4042 0.3717 0.5841
0.5841 0.7124 0.6799
0.4159 0.2876 0.3201
0.0326 0.6283 0.7124
0.5958 0.6283 0.4159
0.6283 0.0326 0.2124
0.4674 0.7876 0.8717
0.9043 0.0841 0.8717
0.5958 0.9674 0.6799
0.4159 0.1283 0.5958
0.4674 0.6799 0.0958
0.6799 0.2124 0.5841
0.9043 0.8201 0.5326
0.1283 0.4159 0.0958
0.3201 0.7876 0.4159
0.6283 0.5958 0.9159
0.7876 0.3201 0.9159
0.7876 0.4674 0.3717
0.8717 0.2876 0.4674
0.9674 0.3717 0.2876
0.0958 0.9159 0.1283
0.7124 0.5841 0.1799
0.7124 0.1283 0.0326
0.2124 0.6799 0.0841
0.9159 0.0958 0.6283
0.4042 0.0326 0.3201
0.8717 0.5841 0.9042
0.8201 0.9042 0.0326
0.0326 0.4042 0.8201
0.5326 0.2124 0.1283
0.5326 0.3201 0.9042
0.0958 0.1799 0.4674
0.8201 0.9159 0.2876
0.1283 0.7124 0.5326
0.2876 0.8717 0.9674
0.2124 0.5326 0.6283
0.0841 0.1799 0.2124
0.1799 0.0958 0.9674
0.9159 0.8201 0.7876
0.0000 0.5000 0.5000
0.8750 0.6250 0.7500
0.7500 0.1250 0.8750
0.6250 0.7500 0.8750
0.0000 0.0000 0.0000
0.5000 0.0000 0.5000
0.5000 0.0000 0.0000
0.1250 0.7500 0.3750
0.3750 0.1250 0.7500
0.2500 0.3750 0.6250
0.7500 0.6250 0.3750
0.3750 0.2500 0.1250
0.5000 0.5000 0.0000
0.0000 0.5000 0.0000
0.5000 0.5000 0.5000
0.1250 0.3750 0.2500
0.2500 0.8750 0.1250
0.0000 0.0000 0.5000
0.6250 0.8750 0.2500
0.8750 0.2500 0.6250
0.1250 0.2500 0.8750
0.6250 0.2500 0.3750
0.2500 0.6250 0.8750
0.8750 0.1250 0.2500
0.1250 0.8750 0.7500
0.3750 0.6250 0.2500
0.6250 0.3750 0.7500
0.7500 0.8750 0.6250
0.3750 0.7500 0.6250
0.2500 0.1250 0.3750
0.8750 0.7500 0.1250
0.7500 0.3750 0.1250